No. 1
# NbInRu3 SCAN single point on PBEsol structure
# Energy of formation from the pure elements   2035.1 meV/atom
data_NbInRu3
_space_group_name_H-M_alt 'P m -3 m'
_space_group_IT_number 221
_space_group_name_Hall '-P 4 2 3'
_cell_length_a 4.635
_cell_length_b 4.635
_cell_length_c 4.635
_cell_angle_alpha 90.00
_cell_angle_beta 90.00
_cell_angle_gamma 90.00
loop_
_atom_site_label
_atom_site_fract_x
_atom_site_fract_y
_atom_site_fract_z
Nb1 0.000 0.000 0.000
In1 0.500 0.500 0.500
Ru1 0.000 0.500 0.500

No. 2
# Nb3InS SCAN single point on PBEsol structure
# Energy relative to the lowest polymorph listed for this composition   0.0000 eV/atom
# Formation energy without anion corrections   -0.010 eV per atom
data_Nb3InS
_space_group_name_H-M_alt 'P m -3 m'
_space_group_IT_number 221
_space_group_name_Hall '-P 4 2 3'
_cell_length_a 4.570
_cell_length_b 4.570
_cell_length_c 4.570
_cell_angle_alpha 90.00
_cell_angle_beta 90.00
_cell_angle_gamma 90.00
loop_
_atom_site_label
_atom_site_fract_x
_atom_site_fract_y
_atom_site_fract_z
Nb1 0.000 0.000 0.500
In1 0.500 0.500 0.500
S1 0.000 0.000 0.000

No. 3
# Nb3InS SCAN single point on PBEsol structure
# Energy relative to the lowest polymorph listed for this composition   2.0643 eV/atom
# Formation energy without anion corrections   2.054 eV per atom
data_Nb3InS
_space_group_name_H-M_alt 'P m -3 m'
_space_group_IT_number 221
_space_group_name_Hall '-P 4 2 3'
_cell_length_a 4.988
_cell_length_b 4.988
_cell_length_c 4.988
_cell_angle_alpha 90.00
_cell_angle_beta 90.00
_cell_angle_gamma 90.00
loop_
_atom_site_label
_atom_site_fract_x
_atom_site_fract_y
_atom_site_fract_z
Nb1 0.000 0.000 0.500
In1 0.000 0.000 0.000
S1 0.500 0.500 0.500

| no. | E (eV per cell) |
| --- | --- |
| 1 | -160.8 |
| 2 | -142.5 |
| 3 | -132.1 |